Density functional theory data (PBE) for a relaxed Gd2PaTl crystal.

Cell: 12.064 12.064 12.064 Å, 16.41 16.41 16.41°
Element x y z (fractional)
Gd 0.091 0.091 0.091
Gd 0.909 0.909 0.909
Pa 0.500 0.500 0.500
Tl 0.000 0.000 0.000

Output
Space-group type ... R-3m, No. 166
Formation energy ... 147.8 meV per atom
E above lowest polymorph ... 203 meV per atom
N(E_F) ... 1.293 states/eV per atom
Magnetization ... 14.33 μB per formula unit